1:
VASP calculation (PBE) on Cu7Te after structural relaxation.

Geometry as POSCAR:
```
Cu7Te
1.0
2.725 0.000 0.000
0.000 3.488 0.000
0.000 0.000 34.053
Cu Te
14 2
Direct
0.500 0.500 0.833
0.000 0.000 0.092
0.000 0.000 0.241
0.500 0.500 0.129
0.000 0.000 0.167
0.000 0.000 0.871
0.500 0.500 0.759
0.500 0.500 0.908
0.000 0.000 0.019
0.500 0.500 0.203
0.500 0.500 0.055
0.000 0.000 0.945
0.500 0.500 0.981
0.000 0.000 0.797
0.000 0.000 0.706
0.500 0.500 0.294
```

Values from the calculation:
space group = Pmmn (59)
crystal system = orthorhombic

---

2:
VASP calculation (PBE) on Cu7Te after structural relaxation.

Geometry as POSCAR:
```
Cu7Te
1.0
2.780 0.000 0.000
0.000 2.780 0.000
0.000 0.000 37.123
Te Cu
2 14
Direct
0.000 0.500 0.159
0.500 0.000 0.841
0.500 0.000 0.230
0.000 0.500 0.521
0.000 0.500 0.770
0.500 0.000 0.479
0.000 0.500 0.687
0.000 0.500 0.604
0.000 0.500 0.271
0.000 0.500 0.354
0.500 0.000 0.562
0.500 0.000 0.646
0.500 0.000 0.729
0.000 0.500 0.438
0.500 0.000 0.313
0.500 0.000 0.396
```

Values from the calculation:
space group = P4/nmm (129)
crystal system = tetragonal

---

Most stable structure: 1

---

1:
VASP calculation (PBE) on Cu14Te3 after structural relaxation.

Geometry as POSCAR:
```
Cu14Te3
1.0
-2.974 1.422 2.893
2.179 -4.647 4.503
17.672 16.912 8.403
Te Cu
6 28
Direct
0.993 0.399 0.186
0.378 0.682 0.267
0.668 0.124 0.241
0.332 0.876 0.759
0.007 0.601 0.814
0.622 0.318 0.733
0.553 0.890 0.356
0.796 0.690 0.714
0.447 0.110 0.644
0.103 0.535 0.585
0.204 0.310 0.286
0.718 0.244 0.339
0.940 0.178 0.599
0.060 0.822 0.401
0.282 0.756 0.661
0.433 0.252 0.553
0.920 0.322 0.507
0.949 0.041 0.691
0.387 0.529 0.368
0.734 0.107 0.431
0.224 0.179 0.384
0.245 0.038 0.477
0.884 0.604 0.323
0.897 0.465 0.415
0.266 0.893 0.569
0.567 0.748 0.447
0.408 0.394 0.461
0.051 0.959 0.309
0.116 0.396 0.677
0.776 0.821 0.616
0.755 0.962 0.523
0.613 0.471 0.632
0.080 0.678 0.493
0.592 0.606 0.539
```

Values from the calculation:
space group = P-1 (2)
crystal system = triclinic

---

2:
VASP calculation (PBE) on Cu14Te3 after structural relaxation.

Geometry as POSCAR:
```
Cu14Te3
1.0
-5.821 5.999 -6.825
1.085 -1.450 -2.200
-18.524 -17.809 2.609
Cu Te
28 6
Direct
0.472 0.250 0.674
0.476 0.250 0.403
0.027 0.250 0.462
0.854 0.750 0.689
0.359 0.250 0.553
0.254 0.250 0.709
0.916 0.250 0.612
0.138 0.250 0.585
0.807 0.250 0.491
0.862 0.750 0.415
0.750 0.750 0.567
0.146 0.250 0.311
0.641 0.750 0.447
0.691 0.250 0.642
0.084 0.750 0.388
0.584 0.250 0.522
0.695 0.250 0.370
0.973 0.750 0.538
0.250 0.250 0.433
0.193 0.750 0.509
0.528 0.750 0.326
0.083 0.750 0.661
0.305 0.750 0.630
0.917 0.250 0.339
0.746 0.750 0.291
0.309 0.750 0.358
0.524 0.750 0.597
0.416 0.750 0.478
0.022 0.250 0.751
0.357 0.250 0.262
0.643 0.750 0.738
0.358 0.750 0.791
0.978 0.750 0.249
0.642 0.250 0.209
```

Values from the calculation:
space group = P2_1/m (11)
crystal system = monoclinic

---

Most stable structure: 1

---

1:
VASP calculation (PBE) on Tm3Zr3CuTe2 after structural relaxation.

Geometry as POSCAR:
```
Tm3Zr3CuTe2
1.0
7.892 0.000 0.000
-3.946 6.834 0.000
0.000 0.000 3.984
Te Tm Zr Cu
2 3 3 1
Direct
0.333 0.667 0.500
0.667 0.333 0.500
0.602 0.000 0.000
0.398 0.398 0.000
0.000 0.602 0.000
0.000 0.233 0.500
0.233 0.000 0.500
0.767 0.767 0.500
0.000 0.000 0.000
```

Values from the calculation:
space group = P-62m (189)
crystal system = hexagonal

---

2:
VASP calculation (PBE) on Tm3Zr3CuTe2 after structural relaxation.

Geometry as POSCAR:
```
Tm3Zr3CuTe2
1.0
-2.140 -3.940 6.708
-1.909 -3.018 -7.235
3.212 -1.864 -0.070
Zr Tm Cu Te
3 3 1 2
Direct
0.409 0.409 0.000
0.000 0.591 0.000
0.591 0.000 0.000
0.753 0.753 0.500
0.247 0.000 0.500
0.000 0.247 0.500
0.000 0.000 0.000
0.333 0.667 0.500
0.667 0.333 0.500
```

Values from the calculation:
space group = P-62m (189)
crystal system = hexagonal

---

Most stable structure: 1

---

1:
VASP calculation (PBE) on Y2CuTe2 after structural relaxation.

Geometry as POSCAR:
```
Y2CuTe2
1.0
3.829 -3.829 0.000
3.829 3.829 0.000
-3.829 0.000 5.808
Te Y Cu
2 2 1
Direct
0.645 0.645 0.290
0.355 0.355 0.710
0.750 0.250 0.500
0.250 0.750 0.500
0.000 0.000 0.000
```

Values from the calculation:
space group = I4/mmm (139)
crystal system = tetragonal

---

2:
VASP calculation (PBE) on Y2CuTe2 after structural relaxation.

Geometry as POSCAR:
```
Y2CuTe2
1.0
3.722 -3.722 0.000
3.722 3.722 0.000
-3.722 0.000 6.546
Y Te Cu
2 2 1
Direct
0.637 0.637 0.274
0.363 0.363 0.726
0.750 0.250 0.500
0.250 0.750 0.500
0.000 0.000 0.000
```

Values from the calculation:
space group = I4/mmm (139)
crystal system = tetragonal

---

Most stable structure: 1

---

1:
VASP calculation (PBE) on YTlCuW after structural relaxation.

Geometry as POSCAR:
```
YTlCuW
1.0
0.000 3.446 3.446
3.446 0.000 3.446
3.446 3.446 0.000
Cu Tl Y W
1 1 1 1
Direct
0.750 0.750 0.750
0.000 0.000 0.000
0.500 0.500 0.500
0.250 0.250 0.250
```

Values from the calculation:
space group = F-43m (216)
crystal system = cubic

---

2:
VASP calculation (PBE) on YTlCuW after structural relaxation.

Geometry as POSCAR:
```
YTlCuW
1.0
4.350 -1.780 1.308
0.805 -1.317 4.628
0.459 -4.719 1.149
Cu W Tl Y
1 1 1 1
Direct
0.750 0.750 0.750
0.500 0.500 0.500
0.000 0.000 0.000
0.250 0.250 0.250
```

Values from the calculation:
space group = F-43m (216)
crystal system = cubic

---

Most stable structure: 1

---

1:
VASP calculation (PBE) on TlZnCuW after structural relaxation.

Geometry as POSCAR:
```
TlZnCuW
1.0
0.597 -4.370 1.067
0.946 -1.183 4.278
-3.107 -2.172 2.494
Cu W Zn Tl
1 1 1 1
Direct
0.750 0.750 0.750
0.500 0.500 0.500
0.250 0.250 0.250
0.000 0.000 0.000
```

Values from the calculation:
space group = F-43m (216)
crystal system = cubic

---

2:
VASP calculation (PBE) on TlZnCuW after structural relaxation.

Geometry as POSCAR:
```
TlZnCuW
1.0
1.002 -3.311 -3.008
-0.365 -4.401 1.230
-3.347 -2.599 -1.748
Zn Tl W Cu
1 1 1 1
Direct
0.500 0.500 0.500
0.000 0.000 0.000
0.250 0.250 0.250
0.750 0.750 0.750
```

Values from the calculation:
space group = F-43m (216)
crystal system = cubic

---

Most stable structure: 2

---

1:
VASP calculation (PBE) on YZnCuW after structural relaxation.

Geometry as POSCAR:
```
YZnCuW
1.0
2.004 0.588 4.201
-2.450 1.897 3.523
-1.333 -2.659 3.628
Cu Zn W Y
1 1 1 1
Direct
0.750 0.750 0.750
0.000 0.000 0.000
0.250 0.250 0.250
0.500 0.500 0.500
```

Values from the calculation:
space group = F-43m (216)
crystal system = cubic

---

2:
VASP calculation (PBE) on YZnCuW after structural relaxation.

Geometry as POSCAR:
```
YZnCuW
1.0
-2.412 0.955 3.893
-3.935 2.519 -0.244
-4.139 -2.048 0.749
Zn W Cu Y
1 1 1 1
Direct
0.000 0.000 0.000
0.500 0.500 0.500
0.750 0.750 0.750
0.250 0.250 0.250
```

Values from the calculation:
space group = F-43m (216)
crystal system = cubic

---

Most stable structure: 1

---

1:
VASP calculation (PBE) on Zn4Cu3 after structural relaxation.

Geometry as POSCAR:
```
Zn4Cu3
1.0
4.596 5.307 0.000
-2.298 6.633 0.000
0.000 0.000 4.283
Zn Cu
8 6
Direct
0.013 0.991 0.000
0.143 0.286 0.000
0.385 0.082 0.500
0.104 0.528 0.500
0.848 0.710 0.000
0.567 0.156 0.000
0.939 0.247 0.500
0.809 0.952 0.500
0.289 0.574 0.000
0.244 0.806 0.500
0.521 0.387 0.500
0.431 0.851 0.000
0.708 0.432 0.000
0.663 0.664 0.500
```

Values from the calculation:
space group = P6_3/m (176)
crystal system = hexagonal

---

2:
VASP calculation (PBE) on Zn4Cu3 after structural relaxation.

Geometry as POSCAR:
```
Zn4Cu3
1.0
3.678 -5.670 -1.839
6.709 0.644 -1.907
1.205 -0.535 4.059
Zn Cu
8 6
Direct
0.963 0.234 0.500
0.517 0.391 0.500
0.006 0.990 0.000
0.095 0.524 0.500
0.429 0.857 0.000
0.806 0.946 0.500
0.561 0.146 0.000
0.718 0.435 0.000
0.383 0.094 0.500
0.665 0.666 0.500
0.286 0.570 0.000
0.141 0.287 0.000
0.858 0.715 0.000
0.238 0.811 0.500
```

Values from the calculation:
space group = P6_3/m (176)
crystal system = hexagonal

---

Most stable structure: 2